Computed, not measured: UInAu6 after structural relaxation at the PBE-GGA level of DFT.

The structure in POSCAR format:
```
UInAu6
1.0
9.268 0.000 0.000
0.000 4.582 0.000
-3.851 0.000 7.551
U In Au
2 2 12
direct
0.000 0.000 0.000
0.500 0.500 0.000
0.000 0.000 0.500
0.500 0.500 0.500
0.022 0.500 0.760
0.244 0.500 0.143
0.248 0.000 0.388
0.252 0.500 0.612
0.256 0.000 0.857
0.478 0.000 0.240
0.522 0.000 0.760
0.744 0.000 0.143
0.748 0.500 0.388
0.752 0.000 0.612
0.756 0.500 0.857
0.978 0.500 0.240
```

For the formation energy, the calculation gives -145.7 meV/atom. As for the space-group type: C2/m, No. 12.


Computed, not measured: UInAu2 after structural relaxation at the PBE-GGA level of DFT.

The structure in POSCAR format:
```
UInAu2
1.0
3.256 0.000 0.000
0.000 3.256 0.000
0.000 0.000 8.121
U In Au
1 1 2
direct
0.000 0.000 0.000
0.000 0.000 0.500
0.500 0.500 0.258
0.500 0.500 0.742
```

For the formation energy, the calculation gives -129.0 meV/atom. For the relative energy among the computed polymorphs, the calculation gives 0.092 eV/atom. As for the space-group type: P4/mmm, No. 123.


Computed, not measured: UInAu after structural relaxation at the PBE-GGA level of DFT.

The structure in POSCAR format:
```
UInAu
1.0
3.173 0.000 0.000
0.000 3.173 0.000
0.000 0.000 13.207
U In Au
2 2 2
direct
0.000 0.000 0.000
0.500 0.500 0.500
0.000 0.000 0.313
0.500 0.500 0.813
0.000 0.000 0.663
0.500 0.500 0.163
```

For the formation energy, the calculation gives -37.0 meV/atom. As for the space-group type: I4mm, No. 107.


Computed, not measured: UZnInAu after structural relaxation at the PBE-GGA level of DFT.

The structure in POSCAR format:
```
UZnInAu
1.0
6.976 0.000 0.000
0.000 6.976 0.000
0.000 0.000 6.976
U Zn In Au
4 4 4 4
direct
0.000 0.000 0.000
0.000 0.500 0.500
0.500 0.000 0.500
0.500 0.500 0.000
0.250 0.250 0.750
0.250 0.750 0.250
0.750 0.250 0.250
0.750 0.750 0.750
0.000 0.000 0.500
0.000 0.500 0.000
0.500 0.000 0.000
0.500 0.500 0.500
0.250 0.250 0.250
0.250 0.750 0.750
0.750 0.250 0.750
0.750 0.750 0.250
```

For the formation energy, the calculation gives -78.3 meV/atom. As for the space-group type: F-43m, No. 216.


Computed, not measured: VIn2Au2 after structural relaxation at the PBE-GGA level of DFT.

The structure in POSCAR format:
```
VIn2Au2
1.0
3.807 0.000 0.000
0.000 3.807 0.000
0.000 0.000 15.072
V In Au
2 4 4
direct
0.000 0.000 0.000
0.500 0.500 0.500
0.000 0.000 0.399
0.000 0.000 0.601
0.500 0.500 0.101
0.500 0.500 0.899
0.000 0.500 0.250
0.000 0.500 0.750
0.500 0.000 0.250
0.500 0.000 0.750
```

For the formation energy, the calculation gives 258.0 meV/atom. For the relative energy among the computed polymorphs, the calculation gives 0.027 eV/atom. As for the space-group type: I4/mmm, No. 139.


Computed, not measured: V2In2Au after structural relaxation at the PBE-GGA level of DFT.

The structure in POSCAR format:
```
V2In2Au
1.0
7.027 0.000 0.000
0.000 7.027 0.000
0.000 0.000 3.819
V In Au
4 4 2
direct
0.101 0.399 0.000
0.399 0.899 0.000
0.601 0.101 0.000
0.899 0.601 0.000
0.193 0.693 0.500
0.307 0.193 0.500
0.693 0.807 0.500
0.807 0.307 0.500
0.000 0.000 0.000
0.500 0.500 0.000
```

For the formation energy, the calculation gives 191.5 meV/atom. As for the space-group type: P4/mbm, No. 127.


Computed, not measured: VInAu2 after structural relaxation at the PBE-GGA level of DFT.

The structure in POSCAR format:
```
VInAu2
1.0
7.579 0.000 0.000
0.000 7.579 0.000
0.000 0.000 5.668
V In Au
4 4 8
direct
0.000 0.000 0.000
0.000 0.500 0.250
0.500 0.000 0.750
0.500 0.500 0.500
0.000 0.000 0.500
0.000 0.500 0.750
0.500 0.000 0.250
0.500 0.500 0.000
0.237 0.250 0.125
0.250 0.737 0.375
0.250 0.763 0.875
0.263 0.250 0.625
0.737 0.750 0.625
0.750 0.237 0.875
0.750 0.263 0.375
0.763 0.750 0.125
```

For the formation energy, the calculation gives 232.1 meV/atom. As for the space-group type: I-42d, No. 122.


Computed, not measured: VInAu2 after structural relaxation at the PBE-GGA level of DFT.

The structure in POSCAR format:
```
VInAu2
1.0
2.896 0.000 0.000
-1.448 2.508 0.000
0.000 0.000 31.966
V In Au
3 3 6
direct
0.000 0.000 0.000
0.333 0.667 0.667
0.667 0.333 0.333
0.000 0.000 0.500
0.333 0.667 0.167
0.667 0.333 0.833
0.000 0.000 0.082
0.000 0.000 0.918
0.333 0.667 0.585
0.333 0.667 0.748
0.667 0.333 0.252
0.667 0.333 0.415
```

For the formation energy, the calculation gives 416.2 meV/atom. As for the space-group type: R-3m, No. 166.


Computed, not measured: VInAu after structural relaxation at the PBE-GGA level of DFT.

The structure in POSCAR format:
```
VInAu
1.0
2.968 0.000 0.000
0.051 4.669 0.000
1.133 0.267 7.686
V In Au
2 2 2
direct
0.101 0.226 0.409
0.899 0.774 0.591
0.404 0.266 0.721
0.596 0.734 0.279
0.277 0.755 0.916
0.723 0.245 0.084
```

For the formation energy, the calculation gives 55.2 meV/atom. As for the space-group type: P-1, No. 2.


Computed, not measured: VInAu2 after structural relaxation at the PBE-GGA level of DFT.

The structure in POSCAR format:
```
VInAu2
1.0
3.021 0.000 0.000
0.000 3.021 0.000
0.000 0.000 7.896
V In Au
1 1 2
direct
0.000 0.000 0.000
0.000 0.000 0.500
0.500 0.500 0.225
0.500 0.500 0.775
```

For the formation energy, the calculation gives 21.6 meV/atom. As for the space-group type: P4/mmm, No. 123.


Computed, not measured: VIn2Au after structural relaxation at the PBE-GGA level of DFT.

The structure in POSCAR format:
```
VIn2Au
1.0
3.076 0.000 0.000
-1.538 2.664 0.000
0.000 0.000 30.991
V In Au
3 6 3
direct
0.000 0.000 0.000
0.333 0.667 0.667
0.667 0.333 0.333
0.000 0.000 0.089
0.000 0.000 0.911
0.333 0.667 0.578
0.333 0.667 0.755
0.667 0.333 0.245
0.667 0.333 0.422
0.000 0.000 0.500
0.333 0.667 0.167
0.667 0.333 0.833
```

For the formation energy, the calculation gives 499.3 meV/atom. For the relative energy among the computed polymorphs, the calculation gives 0.313 eV/atom. As for the space-group type: R-3m, No. 166.


Computed, not measured: VIn2Au after structural relaxation at the PBE-GGA level of DFT.

The structure in POSCAR format:
```
VIn2Au
1.0
7.701 0.000 0.000
0.000 7.701 0.000
0.000 0.000 5.893
V In Au
4 8 4
direct
0.000 0.000 0.000
0.000 0.500 0.250
0.500 0.000 0.750
0.500 0.500 0.500
0.239 0.250 0.625
0.250 0.739 0.875
0.250 0.761 0.375
0.261 0.250 0.125
0.739 0.750 0.125
0.750 0.239 0.375
0.750 0.261 0.875
0.761 0.750 0.625
0.000 0.000 0.500
0.000 0.500 0.750
0.500 0.000 0.250
0.500 0.500 0.000
```

For the formation energy, the calculation gives 321.3 meV/atom. For the relative energy among the computed polymorphs, the calculation gives 0.135 eV/atom. As for the space-group type: I-42d, No. 122.


What are the calculated volume values for these records? In order: 320.6; 86.1; 133.0; 339.4; 218.4; 188.5; 325.5; 232.2; 106.5; 72.1; 254.0; 349.5 Å³ per cell.
What are the D(E_F) values for these records? In order: 7.1; 6.4; 5.0; 8.9; 2.6; 2.6; 3.8; 3.4; 2.1; 3.4; 3.0; 3.4 states/eV/f.u..